Entry from the Alexandria database: a relaxed structure of Cs3Pa3CdSe8 (GGA-PBE).

The structure in POSCAR format:
```
Cs3Pa3CdSe8
1.0
7.2881 -4.2088 0.0000
7.2881 4.2088 0.0000
-4.8597 0.0000 8.5798
Cs Pa Cd Se
3 3 1 8
direct
0.0000 0.0000 0.0000 Cs
0.0000 0.5000 0.0000 Cs
0.5000 0.0000 0.0000 Cs
0.0000 0.5000 0.5000 Pa
0.5000 0.0000 0.5000 Pa
0.5000 0.5000 0.5000 Pa
0.0000 0.0000 0.5000 Cd
0.2316 0.2316 0.6846 Se
0.2323 0.7212 0.6852 Se
0.2700 0.2700 0.3112 Se
0.2788 0.7677 0.3148 Se
0.7212 0.2323 0.6852 Se
0.7300 0.7300 0.6888 Se
0.7677 0.2788 0.3148 Se
0.7684 0.7684 0.3154 Se
```

Output
E_form (uncorrected)	-119.0	kJ per mole of atoms
density of states at the Fermi level	19.0	states/eV/cell

Entry from the Alexandria database: a relaxed structure of CsPaCdSe4 (GGA-PBE).

The structure in POSCAR format:
```
CsPaCdSe4
1.0
-3.7877 4.2515 7.8031
3.7877 -4.2515 7.8031
3.7877 4.2515 -7.8031
Cs Pa Cd Se
2 2 2 8
direct
0.4177 0.1677 0.2500 Cs
0.5823 0.8323 0.7500 Cs
0.0000 0.5000 0.5000 Pa
0.5000 0.5000 0.0000 Pa
0.0000 0.0000 0.5000 Cd
0.0000 0.5000 0.0000 Cd
0.1457 0.6825 0.4632 Se
0.2448 0.2610 0.5162 Se
0.2448 0.7287 0.9838 Se
0.2806 0.3175 0.9632 Se
0.7194 0.6825 0.0368 Se
0.7552 0.2713 0.0162 Se
0.7552 0.7390 0.4838 Se
0.8543 0.3175 0.5368 Se
```

Output
E_form (uncorrected)	-99.2	kJ per mole of atoms

Look up the E_form (uncorrected) of the first one. -119.0 kJ per mole of atoms